Entry 1:
Bi2OsAu2 | PBE-GGA | optimized geometry

Output
The distance to the lowest polymorph of the same formula comes out at 0.000 eV per atom. For the size of the total moment, the calculation gives 1.17 Bohr magnetons per cell. Its mass density is 13.78 Mg/m³.

abc: 3.6524 3.6524 18.0988
angles: 90.00 90.00 90.00
With the nearest neighbours (Å) after each atom.
Space group I4/mmm (No. 139)
One atom of each set of equivalent atoms:
Bi: 0.0000 0.0000 0.0891 (multiplicity 4)  4 Os 3.04, 1 Bi 3.23
Os: 0.0000 0.0000 0.5000 (multiplicity 2)  8 Bi 3.04
Au: 0.0000 0.5000 0.2500 (multiplicity 4)  4 Au 2.58

Entry 2:
LaNi9As4 | PBE-GGA | optimized geometry

Output
The value obtained for the total energy is -323.746 eV/cell. For the size of the total moment, the calculation gives 0.00 Bohr magnetons per cell. Its mass density is 8.45 Mg/m³.

abc: 7.9906 7.9906 11.9005
angles: 90.00 90.00 90.00
With the nearest neighbours (Å) after each atom.
Space group I4/mcm (No. 140)
One atom of each set of equivalent atoms:
La: 0.0000 0.0000 0.2500 (multiplicity 4)  16 Ni 3.24-3.44, 8 As 3.32
Ni: 0.0000 0.5000 0.0000 (multiplicity 4)  4 As 2.43, 8 Ni 2.45-2.62
Ni: 0.0730 0.2024 0.0000 (multiplicity 16)  6 Ni 2.43-2.61, 4 As 2.53-2.64
Ni: 0.1273 0.3727 0.1835 (multiplicity 16)  4 As 2.35-2.51, 5 Ni 2.58-2.62
As: 0.1710 0.3290 0.3766 (multiplicity 16)  7 Ni 2.35-2.53

Entry 3:
Ni3MoPt12 | PBE-GGA | optimized geometry

Output
The value obtained for the total energy is -102.670 eV/cell. For the size of the total moment, the calculation gives 3.56 Bohr magnetons per cell. Its mass density is 18.21 Mg/m³.

abc: 3.9121 3.9121 15.5695
angles: 90.00 90.00 90.00
With the nearest neighbours (Å) after each atom.
Space group P4/mmm (No. 123)
One atom of each set of equivalent atoms:
Ni: 0.0000 0.0000 0.0000 (multiplicity 1)  12 Pt 2.74-2.77
Ni: 0.0000 0.0000 0.2448 (multiplicity 2)  12 Pt 2.72-2.80
Mo: 0.0000 0.0000 0.5000 (multiplicity 1)  12 Pt 2.77
Pt: 0.0000 0.5000 0.1235 (multiplicity 4)  4 Ni 2.72-2.74, 8 Pt 2.74-2.77
Pt: 0.0000 0.5000 0.3738 (multiplicity 4)  8 Pt 2.77, 2 Mo 2.77, 2 Ni 2.80
Pt: 0.5000 0.5000 0.0000 (multiplicity 1)  8 Pt 2.74, 4 Ni 2.77
Pt: 0.5000 0.5000 0.2479 (multiplicity 2)  8 Pt 2.75-2.77, 4 Ni 2.77
Pt: 0.5000 0.5000 0.5000 (multiplicity 1)  4 Mo 2.77, 8 Pt 2.77